The following is a PBE-GGA calculation of an optimized crystal structure of Re2HRhW, from Alexandria via LeMat-Bulk.

Computed properties:
calculated total energy = -48.41 eV per cell
space group = P4/mmm, No. 123
crystal system = tetragonal

Cell: 3.9767 3.9767 3.9209 Å, 90.00 90.00 90.00°
Fractional positions:
Re1 0.0000 0.5000 0.0000
Re2 0.5000 0.0000 0.0000
Rh1 0.0000 0.0000 0.5000
W1 0.5000 0.5000 0.5000
H1 0.0000 0.0000 0.0000